i.
10
Lattice="6.954 0.000 0.000 0.000 6.954 0.000 0.000 0.000 5.792" Properties=species:S:1:pos:R:3 comment="Cs2FeCu2 | Alexandria | PBE | optimized geometry" space_group="P4/mbm, No. 127" pbc="T T T"
Cs 1.270 2.206 0.000
Cs 2.206 5.683 0.000
Cs 4.747 1.270 0.000
Cs 5.683 4.747 0.000
Fe 0.000 0.000 2.896
Fe 3.477 3.477 2.896
Cu 0.918 4.395 2.896
Cu 2.559 0.918 2.896
Cu 4.395 6.036 2.896
Cu 6.036 2.559 2.896



ii.
5
Lattice="-3.444 3.444 3.739 3.444 -3.444 3.739 3.444 3.444 -3.739" Properties=species:S:1:pos:R:3 comment="Cs2FeCu2 | Alexandria | PBE | optimized geometry" space_group="I4/mmm, No. 139" pbc="T T T"
Cs 3.444 0.000 1.869
Cs 0.000 3.444 1.869
Fe 0.000 0.000 0.000
Cu 0.000 0.000 2.516
Cu 0.000 0.000 4.961



Quick one: least stable of them? i



i.
5
Lattice="4.796 0.000 0.000 0.000 4.796 0.000 0.000 0.000 4.796" Properties=species:S:1:pos:R:3 comment="CsFe3Cu | Alexandria | PBE | optimized geometry" space_group="Pm-3m, No. 221" pbc="T T T"
Cs 0.000 0.000 0.000
Fe 0.000 0.000 2.398
Fe 0.000 2.398 0.000
Fe 2.398 0.000 0.000
Cu 2.398 2.398 2.398



ii.
5
Lattice="4.773 0.000 0.000 0.000 4.773 0.000 0.000 0.000 4.773" Properties=species:S:1:pos:R:3 comment="CsFe3Cu | Alexandria | PBE | optimized geometry" space_group="Pm-3m, No. 221" pbc="T T T"
Cs 0.000 0.000 0.000
Fe 0.000 2.386 2.386
Fe 2.386 0.000 2.386
Fe 2.386 2.386 0.000
Cu 2.386 2.386 2.386



Quick one: least stable of them? i



i.
5
Lattice="5.914 0.000 0.000 0.000 3.433 0.000 -2.926 0.000 6.715" Properties=species:S:1:pos:R:3 comment="CsZnFeCuGe | Alexandria | PBE | optimized geometry" space_group="Pm, No. 6" pbc="T T T"
Cs 0.000 0.000 0.000
Zn 1.701 1.716 3.288
Fe -0.154 0.000 3.647
Cu 0.035 1.716 5.283
Ge 4.207 1.716 3.232



ii.
5
Lattice="3.605 0.000 0.000 0.000 3.745 0.000 0.000 0.000 8.756" Properties=species:S:1:pos:R:3 comment="CsZnFeCuGe | Alexandria | PBE | optimized geometry" space_group="Pmm2, No. 25" pbc="T T T"
Cs 0.000 0.000 0.000
Zn 1.803 1.872 5.990
Fe 0.000 1.872 4.202
Cu 1.803 0.000 4.200
Ge 1.803 1.872 2.562



Quick one: least stable of them? i